Hf3GaIr: relaxed, PBE.

Cell: 5.0081 5.0081 5.0081 Å, 90.00 90.00 90.00°
Space group Pm-3m (No. 221)
Symmetry-distinct sites (fractional):
Hf 0.0000 0.0000 0.5000 x3
Ga 0.5000 0.5000 0.5000 x1
Ir 0.0000 0.0000 0.0000 x1

Output
energy of formation from the pure elements	0.188	eV/atom
N(E_F)	6.37	states/eV/cell
calculated total energy	-8.16	eV/atom
energy above the most stable polymorph in this dataset	552	meV/atom

---

HfGa2Ir2: relaxed, PBE.

Cell: 3.6500 3.6500 12.6943 Å, 90.00 90.00 90.00°
Space group I4/mmm (No. 139)
Symmetry-distinct sites (fractional):
Hf 0.0000 0.0000 0.0000 x2
Ga 0.0000 0.5000 0.2500 x4
Ir 0.0000 0.0000 0.3963 x4

Output
energy of formation from the pure elements	-0.549	eV/atom
N(E_F)	4.70	states/eV/cell
calculated total energy	-7.30	eV/atom
energy above the most stable polymorph in this dataset	0	meV/atom

---

Hf3Ga4Ir: relaxed, PBE.

Cell: 4.2161 6.3289 11.7913 Å, 90.00 90.00 90.00°
Space group Immm (No. 71)
Symmetry-distinct sites (fractional):
Hf 0.0000 0.0000 0.0000 x2
Hf 0.0000 0.5000 0.1528 x4
Ga 0.0000 0.3009 0.3629 x8
Ir 0.0000 0.0000 0.5000 x2

Output
energy of formation from the pure elements	-0.220	eV/atom
N(E_F)	11.36	states/eV/cell
calculated total energy	-6.57	eV/atom

---

Hf2GaIr2: relaxed, PBE.

Cell: 7.6179 7.6179 3.1489 Å, 90.00 90.00 90.00°
Space group P4/mbm (No. 127)
Symmetry-distinct sites (fractional):
Hf 0.1628 0.3372 0.0000 x4
Ga 0.0000 0.0000 0.5000 x2
Ir 0.1346 0.6346 0.5000 x4

Output
energy of formation from the pure elements	-0.731	eV/atom
N(E_F)	7.38	states/eV/cell
calculated total energy	-8.86	eV/atom

---

HfGaIr2: relaxed, PBE.

Cell: 3.0208 3.0208 6.9516 Å, 90.00 90.00 90.00°
Space group P4/mmm (No. 123)
Symmetry-distinct sites (fractional):
Hf 0.0000 0.0000 0.0000 x1
Ga 0.0000 0.0000 0.5000 x1
Ir 0.5000 0.5000 0.2717 x2

Output
energy of formation from the pure elements	-0.719	eV/atom
N(E_F)	1.58	states/eV/cell
calculated total energy	-8.39	eV/atom

---

Hf2GaIr: relaxed, PBE.

Cell: 4.2285 4.2285 18.2611 Å, 90.00 90.00 90.00°
Space group I-42d (No. 122)
Symmetry-distinct sites (fractional):
Hf 0.2479 0.2500 0.1250 x8
Ga 0.0000 0.0000 0.0000 x4
Ir 0.0000 0.0000 0.5000 x4

Output
energy of formation from the pure elements	0.109	eV/atom
N(E_F)	12.49	states/eV/cell
calculated total energy	-7.84	eV/atom

---

Hf4Ga3Ir: relaxed, PBE.

Cell: 3.7664 3.9133 10.1992 Å, 90.00 90.00 90.00°
Space group Pmm2 (No. 25)
Symmetry-distinct sites (fractional):
Hf 0.0000 0.0000 0.0000 x1
Hf 0.0000 0.5000 0.2821 x1
Hf 0.5000 0.0000 0.4930 x1
Hf 0.5000 0.5000 0.7903 x1
Ga 0.0000 0.0000 0.7240 x1
Ga 0.0000 0.5000 0.5643 x1
Ga 0.5000 0.5000 0.0586 x1
Ir 0.5000 0.0000 0.2325 x1

Output
energy of formation from the pure elements	-0.612	eV/atom
N(E_F)	3.94	states/eV/cell
calculated total energy	-7.83	eV/atom

---

HfGaIr2: relaxed, PBE.

Cell: 6.9645 6.9645 5.8019 Å, 90.00 90.00 90.00°
Space group I-42d (No. 122)
Symmetry-distinct sites (fractional):
Hf 0.0000 0.0000 0.0000 x4
Ga 0.0000 0.0000 0.5000 x4
Ir 0.2286 0.2500 0.6250 x8

Output
energy of formation from the pure elements	-0.179	eV/atom
N(E_F)	10.93	states/eV/cell
calculated total energy	-7.85	eV/atom

---

Hf2GaIr2: relaxed, PBE.

Cell: 7.8134 7.8134 3.0863 Å, 90.00 90.00 90.00°
Space group P4/mbm (No. 127)
Symmetry-distinct sites (fractional):
Hf 0.1554 0.3446 0.0000 x4
Ga 0.0000 0.0000 0.0000 x2
Ir 0.1363 0.6363 0.5000 x4

Output
energy of formation from the pure elements	-0.548	eV/atom
N(E_F)	6.60	states/eV/cell
calculated total energy	-8.68	eV/atom

---

Hf2Ga4Ir: relaxed, PBE.

Cell: 4.7857 4.7857 13.3442 Å, 90.00 90.00 90.00°
Space group I4/mmm (No. 139)
Symmetry-distinct sites (fractional):
Hf 0.0000 0.0000 0.1108 x4
Ga 0.0000 0.0000 0.3126 x4
Ga 0.0000 0.5000 0.0000 x4
Ir 0.0000 0.0000 0.5000 x2

Output
energy of formation from the pure elements	0.181	eV/atom
N(E_F)	17.53	states/eV/cell
calculated total energy	-5.66	eV/atom
energy above the most stable polymorph in this dataset	559	meV/atom

---

LuHfGaIr: relaxed, PBE.

Cell: 6.7410 6.7410 6.7410 Å, 90.00 90.00 90.00°
Space group F-43m (No. 216)
Symmetry-distinct sites (fractional):
Lu 0.0000 0.0000 0.0000 x4
Hf 0.0000 0.0000 0.5000 x4
Ga 0.2500 0.2500 0.2500 x4
Ir 0.2500 0.2500 0.7500 x4

Output
energy of formation from the pure elements	-0.632	eV/atom
N(E_F)	11.00	states/eV/cell
calculated total energy	-7.22	eV/atom

---

HfGa2MoIr: relaxed, PBE.

Cell: 5.0362 5.0362 4.8012 Å, 90.00 90.00 90.00°
Space group P4/mmm (No. 123)
Symmetry-distinct sites (fractional):
Hf 0.0000 0.0000 0.0000 x1
Ga 0.0000 0.5000 0.0000 x2
Mo 0.5000 0.5000 0.5000 x1
Ir 0.0000 0.0000 0.5000 x1

Output
energy of formation from the pure elements	1.363	eV/atom
N(E_F)	3.63	states/eV/cell
calculated total energy	-5.78	eV/atom

---

HfGaIr2Pd: relaxed, PBE.

Cell: 4.5481 4.5481 4.4785 Å, 90.00 90.00 90.00°
Space group P4/mmm (No. 123)
Symmetry-distinct sites (fractional):
Hf 0.0000 0.0000 0.0000 x1
Ga 0.5000 0.5000 0.5000 x1
Ir 0.0000 0.5000 0.5000 x2
Pd 0.5000 0.5000 0.0000 x1

Output
energy of formation from the pure elements	0.299	eV/atom
N(E_F)	2.97	states/eV/cell
calculated total energy	-6.88	eV/atom